A geometry-optimized Pa2VCuN5 structure. Source: the Alexandria database, functional PBE.

```
18
Lattice="1.6270 -6.5650 0.0000 1.6270 6.5650 0.0000 0.0000 0.0000 9.7672" Properties=species:S:1:pos:R:3 pbc="T T T"
Pa 1.6270 5.0296 4.8836
Pa 1.6270 4.7672 1.1273
Pa 1.6270 -4.7672 6.0109
Pa 1.6270 -5.0296 0.0000
V 1.6270 4.0308 8.0038
V 1.6270 -4.0308 3.1202
Cu 1.6270 0.3157 2.7121
Cu 1.6270 -0.3157 7.5957
N 1.6270 5.7565 8.5411
N 1.6270 2.7892 4.5573
N 1.6270 2.5738 1.6645
N 1.6270 1.8774 7.9967
N 1.6270 0.0804 5.6741
N 1.6270 -0.0804 0.7905
N 1.6270 -1.8774 3.1131
N 1.6270 -2.5738 6.5481
N 1.6270 -2.7892 9.4409
N 1.6270 -5.7565 3.6575
```

Calculated values
SG   No. 36
Uncorrected formation energy   -0.99 eV per atom
Total moment   0.01 Bohr magnetons per cell
Raw total energy   -9.19 eV/atom